1.
First-principles (PBE-GGA) data for crystalline TbScCCl at its relaxed geometry, as listed in the Alexandria database.

Output
Formation energy from raw total energies (meV/atom): -719
Space group: P1 (1)

Cell lengths 3.4877, 3.4872, 7.6922 Å; angles 77.50, 77.37, 59.96 degrees
Fractional positions:
Tb1 0.7025 0.9677 0.5921
Cl1 0.4556 0.7177 0.3229
Sc1 0.5722 0.8341 0.9659
C1 0.9537 0.2154 0.8220

2.
First-principles (PBE-GGA) data for crystalline Sc3TeCCl at its relaxed geometry, as listed in the Alexandria database.

Output
Formation energy from raw total energies (meV/atom): -1015
Space group: P2_1/m (11)

Cell lengths 3.5922, 7.6489, 9.4299 Å; angles 94.51, 90.00, 90.00 degrees
Site moments in Bohr magnetons follow the coordinates.
Fractional positions:
Sc1 0.2500 0.6056 0.3627  0.25
C1 0.2500 0.6257 0.1328  -0.01
Sc2 0.2500 0.5843 0.8892  0.09
Te1 0.2500 0.1381 0.1799  0.00
Cl1 0.2500 0.1613 0.5862  0.01
Cl2 0.7500 0.8387 0.4138  0.01
Sc3 0.2500 0.1747 0.8650  0.01
C2 0.7500 0.3743 0.8672  -0.01
Te2 0.7500 0.8619 0.8201  0.00
Sc4 0.7500 0.3944 0.6373  0.25
Sc5 0.7500 0.4157 0.1108  0.09
Sc6 0.7500 0.8253 0.1350  0.01

3.
First-principles (PBE-GGA) data for crystalline YScCCl at its relaxed geometry, as listed in the Alexandria database.

Output
Formation energy from raw total energies (meV/atom): -717
Space group: Cm (8)

Cell lengths 3.4898, 3.4897, 7.6774 Å; angles 77.12, 77.10, 59.99 degrees
Fractional positions:
C1 0.9553 0.2178 0.8202
Y1 0.7005 0.9637 0.5922
Sc1 0.5735 0.8360 0.9656
Cl1 0.4547 0.7174 0.3249

What is the formation energy from raw total energies in the second record? -1015 meV/atom

Among the records above, which one has the lowest formation energy from raw total energies? Sc3TeCCl

formation energy from raw total energies of number 1 (TbScCCl)? -719 meV/atom

Which formula does entry 1 have? TbScCCl